[1]
Compound: Zr3AlIn2Ir2Pd
Source: the Open Quantum Materials Database
Functional: GGA-PBE
Structure: optimized geometry

a b c (Å): 3.4625 7.5546 7.5546
angles (deg): 120.60 90.00 90.00
Closest atoms and distances in Å follow each position.
Positions (direct):
Al 0.0000 0.2706 0.2706  2 Pd 2.53, 2 Ir 2.67
In 0.0000 0.9973 0.7305  2 Pd 2.74, 2 Ir 2.84-2.85, 2 Zr 3.06
In 0.0000 0.7305 0.9973  2 Pd 2.74, 2 Ir 2.84-2.85, 2 Zr 3.06
Ir 0.0000 0.6493 0.3265  1 Al 2.67, 4 Zr 2.76-2.84, 2 In 2.84-2.85
Ir 0.0000 0.3265 0.6493  1 Al 2.67, 4 Zr 2.76-2.84, 2 In 2.84-2.85
Pd 0.5000 0.0233 0.0233  2 Al 2.53, 4 In 2.74
Zr 0.5000 0.4038 0.0102  4 Ir 2.76-3.03, 1 Pd 2.93, 2 In 3.06
Zr 0.5000 0.0102 0.4038  4 Ir 2.76-3.03, 1 Pd 2.93, 2 In 3.06
Zr 0.5000 0.5883 0.5883  4 Ir 2.84, 2 Al 2.94

- total energy (eV per cell) = -64.40
- symmetry = Amm2

=====

[2]
Compound: Ag2Ge2Pb3
Source: the Open Quantum Materials Database
Functional: GGA-PBE
Structure: optimized geometry

a b c (Å): 8.7850 8.7850 8.7850
angles (deg): 33.59 33.59 33.59
Closest atoms and distances in Å follow each position.
Positions (direct):
Ag 0.2375 0.2375 0.2375  6 Pb 3.04-3.22, 3 Ge 3.40
Ag 0.7522 0.7522 0.7522  5 Pb 2.96-3.16
Ge 0.0054 0.0054 0.0054  7 Pb 3.13-3.33
Ge 0.5012 0.5012 0.5012  5 Pb 2.94-3.07
Pb 0.3827 0.3827 0.3827  4 Ge 2.94-3.13, 3 Ag 3.07
Pb 0.6248 0.6248 0.6248  4 Ge 3.07-3.16, 4 Ag 3.16-3.22
Pb 0.8712 0.8712 0.8712  4 Ag 2.96-3.04, 3 Ge 3.07

- total energy (eV per cell) = -24.03
- symmetry = R3m

=====

[3]
Compound: Ta4Tl2Tc
Source: the Open Quantum Materials Database
Functional: GGA-PBE
Structure: optimized geometry

a b c (Å): 6.9215 6.9215 6.9215
angles (deg): 97.17 97.17 138.62
Closest atoms and distances in Å follow each position.
Positions (direct):
Ta 0.5000 0.6971 0.1971  2 Ta 2.55
Ta 0.6971 0.5000 0.1971  2 Ta 2.55
Ta 0.5000 0.3029 0.8029  2 Ta 2.55
Ta 0.3029 0.5000 0.8029  2 Ta 2.55
Tc 0.0000 0.0000 0.0000  8 Ta 3.04
Tl 0.7500 0.2500 0.5000  2 Tl 2.45
Tl 0.2500 0.7500 0.5000  2 Tl 2.45

- total energy (eV per cell) = -47.78
- symmetry = I4/mmm

=====

[4]
Compound: La2UP3
Source: the Open Quantum Materials Database
Functional: GGA-PBE
Structure: optimized geometry

a b c (Å): 4.1224 4.1224 10.3235
angles (deg): 90.00 90.00 120.00
Closest atoms and distances in Å follow each position.
Positions (direct):
La 0.6667 0.3333 0.1695  6 P 2.95-3.04
La 0.3333 0.6667 0.8305  6 P 2.95-3.04
P 0.0000 0.0000 0.0000  6 La 2.95
P 0.3333 0.6667 0.3527  3 U 2.82, 3 La 3.04
P 0.6667 0.3333 0.6473  3 U 2.82, 3 La 3.04
U 0.0000 0.0000 0.5000  6 P 2.82

- total energy (eV per cell) = -45.46
- symmetry = P-3m1

=====

[5]
Compound: ScFeAgAs
Source: the Open Quantum Materials Database
Functional: GGA-PBE
Structure: optimized geometry

a b c (Å): 4.5360 4.5360 4.5360
angles (deg): 60.00 60.00 60.00
Closest atoms and distances in Å follow each position.
Positions (direct):
Ag 0.2500 0.2500 0.2500  4 As 2.78, 4 Sc 2.78
As 0.0000 0.0000 0.0000  4 Fe 2.78, 4 Ag 2.78
Fe 0.7500 0.7500 0.7500  4 As 2.78, 4 Sc 2.78
Sc 0.5000 0.5000 0.5000  4 Fe 2.78, 4 Ag 2.78

- E above lowest polymorph (eV per atom) = 0.169
- symmetry = F-43m

=====

[6]
Compound: Ho3Lu3FeTe2
Source: the Open Quantum Materials Database
Functional: GGA-PBE
Structure: optimized geometry

a b c (Å): 8.1712 8.1712 3.9502
angles (deg): 90.00 90.00 120.00
Closest atoms and distances in Å follow each position.
Positions (direct):
Fe 0.0000 0.0000 0.0000  6 Lu 2.73
Ho 0.3906 0.0000 0.0000  1 Fe 3.19, 4 Te 3.20, 4 Lu 3.41
Ho 0.0000 0.3906 0.0000  1 Fe 3.19, 4 Te 3.20, 4 Lu 3.41
Ho 0.6094 0.6094 0.0000  1 Fe 3.19, 4 Te 3.20, 4 Lu 3.41
Lu 0.7686 0.0000 0.5000  2 Fe 2.73
Lu 0.2314 0.2314 0.5000  2 Fe 2.73
Lu 0.0000 0.7686 0.5000  2 Fe 2.73
Te 0.6667 0.3333 0.5000  6 Ho 3.20, 3 Lu 3.22
Te 0.3333 0.6667 0.5000  6 Ho 3.20, 3 Lu 3.22

- E above lowest polymorph (eV per atom) = 0.000
- symmetry = P-62m

=====

[7]
Compound: LiGdSn
Source: the Open Quantum Materials Database
Functional: GGA-PBE
Structure: optimized geometry

a b c (Å): 5.0036 5.0036 5.0036
angles (deg): 60.00 60.00 60.00
Closest atoms and distances in Å follow each position.
Positions (direct):
Gd 0.0000 0.0000 0.0000  4 Sn 3.06, 4 Li 3.06
Li 0.2500 0.2500 0.2500  4 Gd 3.06
Sn 0.7500 0.7500 0.7500  4 Gd 3.06

- total energy (eV per cell) = -10.75
- symmetry = F-43m

=====

[8]
Compound: GdAlSi
Source: the Open Quantum Materials Database
Functional: GGA-PBE
Structure: optimized geometry

a b c (Å): 7.0701 7.0701 4.1460
angles (deg): 90.00 90.00 120.00
Closest atoms and distances in Å follow each position.
Positions (direct):
Al 0.7447 0.0000 0.0000  4 Si 2.68-2.75
Al 0.2553 0.2553 0.0000  4 Si 2.68-2.75
Al 0.0000 0.7447 0.0000  4 Si 2.68-2.75
Gd 0.3900 0.0000 0.5000  5 Si 2.76-3.01
Gd 0.0000 0.3900 0.5000  5 Si 2.76-3.01
Gd 0.6100 0.6100 0.5000  5 Si 2.76-3.01
Si 0.6667 0.3333 0.0000  3 Al 2.68
Si 0.3333 0.6667 0.0000  3 Al 2.68
Si 0.0000 0.0000 0.5000  6 Al 2.75, 3 Gd 2.76

- total energy (eV per cell) = -46.56
- symmetry = P-62m